# 1
This record from Alexandria via LeMat-Bulk describes crystalline Au2Cl at its relaxed geometry. The functional is PBE.

a = 5.9173 Å, b = 5.9173 Å, c = 5.9173 Å
α = 125.43°, β = 125.43°, γ = 80.82°
Last column: nearest neighbours and their distance in Å.
Positions (direct):
1 Au 0.1827 0.6827 0.8654  5 Au 2.80-2.81, 4 Cl 3.00
2 Au 0.3173 0.1827 0.5000  5 Au 2.80-2.81, 4 Cl 3.00
3 Au 0.6827 0.8173 0.5000  5 Au 2.80-2.81, 4 Cl 3.00
4 Au 0.8173 0.3173 0.1346  5 Au 2.80-2.81, 4 Cl 3.00
5 Cl 0.2500 0.2500 0.0000  8 Au 3.00
6 Cl 0.7500 0.7500 0.0000  8 Au 3.00

E above lowest polymorph ... 297 meV/atom
Calculated density ... 10.8 g/cm³
M_tot ... 0.0 μB per cell
E ... -2.517 eV/atom
DOS(E_F) ... 0.617 states/eV per atom
Energy relative to the elements, uncorrected ... 0.28 eV/atom

---

# 2
This record from Alexandria via LeMat-Bulk describes crystalline AuCl at its relaxed geometry. The functional is PBE.

a = 4.3862 Å, b = 4.3862 Å, c = 3.9102 Å
α = 115.03°, β = 115.03°, γ = 61.44°
Last column: nearest neighbours and their distance in Å.
Positions (direct):
1 Au 0.0000 0.0000 0.0000  2 Cl 2.34
2 Cl 0.4040 0.4040 0.9798  2 Au 2.34

Calculated density ... 6.7 g/cm³
M_tot ... 0.0 μB per cell
E ... -2.522 eV/atom
Energy relative to the elements, uncorrected ... 0.04 eV/atom

---

# 3
This record from Alexandria via LeMat-Bulk describes crystalline AuCl at its relaxed geometry. The functional is PBE.

a = 7.3879 Å, b = 7.3879 Å, c = 7.3879 Å
α = 90.00°, β = 90.00°, γ = 90.00°
Last column: nearest neighbours and their distance in Å.
Positions (direct):
1 Au 0.0000 0.2500 0.5000  4 Cl 2.61
2 Au 0.0000 0.7500 0.5000  4 Cl 2.61
3 Au 0.2500 0.5000 0.0000  4 Cl 2.61
4 Au 0.5000 0.0000 0.2500  4 Cl 2.61
5 Au 0.5000 0.0000 0.7500  4 Cl 2.61
6 Au 0.7500 0.5000 0.0000  4 Cl 2.61
7 Cl 0.0000 0.5000 0.2500  4 Au 2.61
8 Cl 0.0000 0.5000 0.7500  4 Au 2.61
9 Cl 0.2500 0.0000 0.5000  4 Au 2.61
10 Cl 0.5000 0.2500 0.0000  4 Au 2.61
11 Cl 0.5000 0.7500 0.0000  4 Au 2.61
12 Cl 0.7500 0.0000 0.5000  4 Au 2.61

Calculated density ... 5.7 g/cm³
M_tot ... 0.0 μB per cell
E ... -2.414 eV/atom
DOS(E_F) ... 0.330 states/eV per atom
Energy relative to the elements, uncorrected ... 0.15 eV/atom

---

# 4
This record from Alexandria via LeMat-Bulk describes crystalline Au2Cl3 at its relaxed geometry. The functional is PBE.

a = 9.6333 Å, b = 7.3853 Å, c = 7.9359 Å
α = 77.83°, β = 48.54°, γ = 53.64°
Last column: nearest neighbours and their distance in Å.
Positions (direct):
1 Au 0.0852 0.9148 0.2914  3 Cl 2.34-2.58
2 Au 0.5414 0.9586 0.3352  3 Cl 2.34-2.58
3 Au 0.9148 0.0852 0.7086  3 Cl 2.34-2.58
4 Au 0.9586 0.5414 0.1648  3 Cl 2.34-2.58
5 Cl 0.0882 0.2556 0.6251  2 Au 2.34-2.58
6 Cl 0.2189 0.6249 0.9944  2 Au 2.34-2.58
7 Cl 0.2556 0.0882 0.0311  2 Au 2.34-2.58
8 Cl 0.5991 0.5991 0.4009  2 Au 2.38
9 Cl 0.6249 0.2189 0.1618  2 Au 2.34-2.58
10 Cl 0.8491 0.8491 0.6509  2 Au 2.38

E above lowest polymorph ... 0 meV/atom
Calculated density ... 5.1 g/cm³
M_tot ... 0.0 μB per cell
E ... -2.584 eV/atom
DOS(E_F) ... 0.725 states/eV per atom
Energy relative to the elements, uncorrected ... -0.17 eV/atom

---

# 5
This record from Alexandria via LeMat-Bulk describes crystalline Au2Cl at its relaxed geometry. The functional is PBE.

a = 4.8826 Å, b = 4.8826 Å, c = 2.9573 Å
α = 90.00°, β = 90.00°, γ = 90.00°
Last column: nearest neighbours and their distance in Å.
Positions (direct):
1 Au 0.0000 0.5000 0.0000  4 Cl 2.85, 2 Au 2.96
2 Au 0.5000 0.0000 0.0000  4 Cl 2.85, 2 Au 2.96
3 Cl 0.0000 0.0000 0.5000  8 Au 2.85, 2 Cl 2.96

E above lowest polymorph ... 686 meV/atom
Calculated density ... 10.1 g/cm³
M_tot ... 0.0 μB per cell
E ... -2.128 eV/atom
DOS(E_F) ... 0.280 states/eV per atom
Energy relative to the elements, uncorrected ... 0.67 eV/atom

---

# 6
This record from Alexandria via LeMat-Bulk describes crystalline Au3Cl at its relaxed geometry. The functional is PBE.

a = 4.7561 Å, b = 4.7561 Å, c = 4.7561 Å
α = 60.00°, β = 60.00°, γ = 60.00°
Last column: nearest neighbours and their distance in Å.
Positions (direct):
1 Au 0.0000 0.0000 0.0000  8 Au 2.91
2 Au 0.2500 0.2500 0.2500  4 Cl 2.91, 4 Au 2.91
3 Au 0.7500 0.7500 0.7500  4 Cl 2.91, 4 Au 2.91
4 Cl 0.5000 0.5000 0.5000  8 Au 2.91

E above lowest polymorph ... 258 meV/atom
Calculated density ... 13.7 g/cm³
M_tot ... 0.0 μB per cell
E ... -2.602 eV/atom
DOS(E_F) ... 0.100 states/eV per atom
Energy relative to the elements, uncorrected ... 0.32 eV/atom

---

# 7
This record from Alexandria via LeMat-Bulk describes crystalline Au2Cl3 at its relaxed geometry. The functional is PBE.

a = 8.9396 Å, b = 8.9396 Å, c = 8.9396 Å
α = 26.27°, β = 26.27°, γ = 26.27°
Last column: nearest neighbours and their distance in Å.
Positions (direct):
1 Au 0.1042 0.1042 0.1042  6 Cl 2.57-2.85
2 Au 0.8958 0.8958 0.8958  6 Cl 2.57-2.85
3 Cl 0.2698 0.2698 0.2698  3 Au 2.57
4 Cl 0.5000 0.5000 0.5000  6 Au 2.85
5 Cl 0.7302 0.7302 0.7302  3 Au 2.57

E above lowest polymorph ... 166 meV/atom
Calculated density ... 6.7 g/cm³
M_tot ... 0.0 μB per cell
E ... -2.418 eV/atom
DOS(E_F) ... 0.780 states/eV per atom
Energy relative to the elements, uncorrected ... 0.00 eV/atom

---

# 8
This record from Alexandria via LeMat-Bulk describes crystalline Au2Cl at its relaxed geometry. The functional is PBE.

a = 5.0829 Å, b = 5.0829 Å, c = 9.0049 Å
α = 91.14°, β = 91.14°, γ = 45.17°
Last column: nearest neighbours and their distance in Å.
Positions (direct):
1 Au 0.0000 0.0000 0.0000  7 Au 2.72-2.99
2 Au 0.4087 0.4087 0.1863  2 Cl 2.62, 5 Au 2.72-2.87
3 Au 0.5897 0.5897 0.8141  2 Cl 2.50, 3 Au 2.72-2.75
4 Au 0.6980 0.6980 0.1002  1 Cl 2.56, 4 Au 2.75-2.84
5 Cl 0.1249 0.1249 0.6461  2 Au 2.50
6 Cl 0.8233 0.8233 0.3560  3 Au 2.56-2.62

E above lowest polymorph ... 11 meV/atom
Calculated density ... 8.6 g/cm³
M_tot ... 0.0 μB per cell
E ... -2.804 eV/atom
DOS(E_F) ... 0.220 states/eV per atom
Energy relative to the elements, uncorrected ... 0.00 eV/atom

---

# 9
This record from Alexandria via LeMat-Bulk describes crystalline Au2Cl at its relaxed geometry. The functional is PBE.

a = 6.2788 Å, b = 3.8635 Å, c = 10.9550 Å
α = 90.00°, β = 90.00°, γ = 90.00°
Last column: nearest neighbours and their distance in Å.
Positions (direct):
1 Au 0.0306 0.2500 0.1973  2 Cl 2.63, 3 Au 2.77-2.78
2 Au 0.1602 0.7500 0.0304  1 Cl 2.58, 5 Au 2.77-2.87
3 Au 0.3398 0.2500 0.5304  1 Cl 2.58, 5 Au 2.77-2.87
4 Au 0.4694 0.7500 0.6973  2 Cl 2.63, 3 Au 2.77-2.78
5 Au 0.5306 0.2500 0.3027  2 Cl 2.63, 3 Au 2.77-2.78
6 Au 0.6602 0.7500 0.4696  1 Cl 2.58, 5 Au 2.77-2.87
7 Au 0.8398 0.2500 0.9696  1 Cl 2.58, 5 Au 2.77-2.87
8 Au 0.9694 0.7500 0.8027  2 Cl 2.63, 3 Au 2.77-2.78
9 Cl 0.0236 0.7500 0.3601  3 Au 2.58-2.63
10 Cl 0.4764 0.2500 0.8601  3 Au 2.58-2.63
11 Cl 0.5236 0.7500 0.1399  3 Au 2.58-2.63
12 Cl 0.9764 0.2500 0.6399  3 Au 2.58-2.63

E above lowest polymorph ... 122 meV/atom
Calculated density ... 10.7 g/cm³
M_tot ... 0.0 μB per cell
E ... -2.692 eV/atom
DOS(E_F) ... 0.101 states/eV per atom
Energy relative to the elements, uncorrected ... 0.11 eV/atom

---

# 10
This record from Alexandria via LeMat-Bulk describes crystalline Au3Cl at its relaxed geometry. The functional is PBE.

a = 5.5353 Å, b = 5.5353 Å, c = 5.5353 Å
α = 116.92°, β = 116.92°, γ = 116.92°
Last column: nearest neighbours and their distance in Å.
Positions (direct):
1 Au 0.0000 0.5000 0.5000  6 Au 2.90-2.95, 2 Cl 2.90
2 Au 0.5000 0.0000 0.5000  2 Cl 2.90, 6 Au 2.90-2.95
3 Au 0.5000 0.5000 0.0000  6 Au 2.90-2.95, 2 Cl 2.90
4 Cl 0.0000 0.0000 0.0000  6 Au 2.90, 2 Cl 2.95

E above lowest polymorph ... 240 meV/atom
Calculated density ... 13.7 g/cm³
M_tot ... 0.0 μB per cell
E ... -2.620 eV/atom
DOS(E_F) ... 0.572 states/eV per atom
Energy relative to the elements, uncorrected ... 0.30 eV/atom

---

# 11
This record from Alexandria via LeMat-Bulk describes crystalline Au2Cl at its relaxed geometry. The functional is PBE.

a = 4.5561 Å, b = 4.5561 Å, c = 4.5561 Å
α = 60.00°, β = 60.00°, γ = 60.00°
Last column: nearest neighbours and their distance in Å.
Positions (direct):
1 Au 0.2500 0.2500 0.2500  4 Cl 2.79
2 Au 0.7500 0.7500 0.7500  4 Cl 2.79
3 Cl 0.0000 0.0000 0.0000  8 Au 2.79

E above lowest polymorph ... 568 meV/atom
Calculated density ... 10.7 g/cm³
M_tot ... 0.0 μB per cell
E ... -2.246 eV/atom
DOS(E_F) ... 0.078 states/eV per atom
Energy relative to the elements, uncorrected ... 0.55 eV/atom

---

# 12
This record from Alexandria via LeMat-Bulk describes crystalline Au3Cl at its relaxed geometry. The functional is PBE.

a = 4.2326 Å, b = 4.2326 Å, c = 4.2326 Å
α = 90.00°, β = 90.00°, γ = 90.00°
Last column: nearest neighbours and their distance in Å.
Positions (direct):
1 Au 0.0000 0.0000 0.5000  4 Cl 2.99, 8 Au 2.99
2 Au 0.0000 0.5000 0.0000  4 Cl 2.99, 8 Au 2.99
3 Au 0.5000 0.0000 0.0000  4 Cl 2.99, 8 Au 2.99
4 Cl 0.5000 0.5000 0.5000  12 Au 2.99

E above lowest polymorph ... 237 meV/atom
Calculated density ... 13.7 g/cm³
M_tot ... 0.0 μB per cell
E ... -2.623 eV/atom
DOS(E_F) ... 0.225 states/eV per atom
Energy relative to the elements, uncorrected ... 0.30 eV/atom